Here is a relaxed IrN crystal from Alexandria. Energies are from GGA-PBEsol.

CIF file:
```
data_IrN
_chemical_formula_sum 'Ir1 N1'
_symmetry_space_group_name_H-M 'P 1'
_symmetry_Int_Tables_number 1
_cell_length_a 2.724
_cell_length_b 2.724
_cell_length_c 2.724
_cell_angle_alpha 90.00
_cell_angle_beta 90.00
_cell_angle_gamma 90.00
loop_
_symmetry_equiv_pos_as_xyz
'x,y,z'
loop_
_atom_site_label
_atom_site_type_symbol
_atom_site_fract_x
_atom_site_fract_y
_atom_site_fract_z
_atom_site_occupancy
Ir1 Ir 0.000 0.000 0.000 1
N1 N 0.500 0.500 0.500 1
```

## Properties
- energy relative to the elements, uncorrected (meV per atom) = 1544
- N(E_F) (states/eV/f.u.) = 0.99
- space group = Pm-3m, No. 221
- total DFT energy (no corrections) (eV per atom) = -7.63
- excess energy over the best structure of this formula in the dataset (kJ/mol of formula units) = 173.2

Here is a relaxed IrN2 crystal from Alexandria. Energies are from GGA-PBEsol.

CIF file:
```
data_IrN2
_chemical_formula_sum 'Ir2 N4'
_symmetry_space_group_name_H-M 'P 1'
_symmetry_Int_Tables_number 1
_cell_length_a 3.057
_cell_length_b 3.057
_cell_length_c 7.404
_cell_angle_alpha 90.00
_cell_angle_beta 90.00
_cell_angle_gamma 120.00
loop_
_symmetry_equiv_pos_as_xyz
'x,y,z'
loop_
_atom_site_label
_atom_site_type_symbol
_atom_site_fract_x
_atom_site_fract_y
_atom_site_fract_z
_atom_site_occupancy
Ir1 Ir 0.667 0.333 0.250 1
Ir2 Ir 0.333 0.667 0.750 1
N1 N 0.000 0.000 0.085 1
N2 N 0.000 0.000 0.915 1
N3 N 0.000 0.000 0.585 1
N4 N 0.000 0.000 0.415 1
```

## Properties
- energy relative to the elements, uncorrected (meV per atom) = 830
- N(E_F) (states/eV/f.u.) = 2.38
- space group = P6_3/mmc, No. 194
- total DFT energy (no corrections) (eV per atom) = -8.13

Here is a relaxed Na3IrN2 crystal from Alexandria. Energies are from GGA-PBEsol.

CIF file:
```
data_Na3IrN2
_chemical_formula_sum 'Na12 Ir4 N8'
_symmetry_space_group_name_H-M 'P 1'
_symmetry_Int_Tables_number 1
_cell_length_a 6.796
_cell_length_b 7.664
_cell_length_c 8.229
_cell_angle_alpha 87.69
_cell_angle_beta 90.00
_cell_angle_gamma 90.00
loop_
_symmetry_equiv_pos_as_xyz
'x,y,z'
loop_
_atom_site_label
_atom_site_type_symbol
_atom_site_fract_x
_atom_site_fract_y
_atom_site_fract_z
_atom_site_occupancy
Na1 Na 0.991 0.800 0.055 1
Na2 Na 0.491 0.700 0.445 1
Na3 Na 0.009 0.200 0.945 1
Na4 Na 0.509 0.300 0.555 1
Na5 Na 0.510 0.762 0.037 1
Na6 Na 0.010 0.738 0.463 1
Na7 Na 0.490 0.238 0.963 1
Na8 Na 0.990 0.262 0.537 1
Na9 Na 0.739 0.087 0.245 1
Na10 Na 0.239 0.413 0.255 1
Na11 Na 0.261 0.913 0.755 1
Na12 Na 0.761 0.587 0.745 1
Ir1 Ir 0.790 0.487 0.246 1
Ir2 Ir 0.290 0.013 0.254 1
Ir3 Ir 0.210 0.513 0.754 1
Ir4 Ir 0.710 0.987 0.746 1
N1 N 0.249 0.003 0.041 1
N2 N 0.749 0.497 0.459 1
N3 N 0.751 0.997 0.959 1
N4 N 0.251 0.503 0.541 1
N5 N 0.430 0.009 0.453 1
N6 N 0.930 0.491 0.047 1
N7 N 0.570 0.991 0.547 1
N8 N 0.070 0.509 0.953 1
```

## Properties
- energy relative to the elements, uncorrected (meV per atom) = -17
- N(E_F) (states/eV/f.u.) = 3.08
- space group = P2_1/c, No. 14
- total DFT energy (no corrections) (eV per atom) = -5.20

Here is a relaxed Na3IrN crystal from Alexandria. Energies are from GGA-PBEsol.

CIF file:
```
data_Na3IrN
_chemical_formula_sum 'Na3 Ir1 N1'
_symmetry_space_group_name_H-M 'P 1'
_symmetry_Int_Tables_number 1
_cell_length_a 4.590
_cell_length_b 4.590
_cell_length_c 4.590
_cell_angle_alpha 90.00
_cell_angle_beta 90.00
_cell_angle_gamma 90.00
loop_
_symmetry_equiv_pos_as_xyz
'x,y,z'
loop_
_atom_site_label
_atom_site_type_symbol
_atom_site_fract_x
_atom_site_fract_y
_atom_site_fract_z
_atom_site_occupancy
Na1 Na 0.000 0.500 0.000 1
Na2 Na 0.000 0.000 0.500 1
Na3 Na 0.500 0.000 0.000 1
Ir1 Ir 0.500 0.500 0.500 1
N1 N 0.000 0.000 0.000 1
```

## Properties
- energy relative to the elements, uncorrected (meV per atom) = 1111
- N(E_F) (states/eV/f.u.) = 4.14
- space group = Pm-3m, No. 221
- total DFT energy (no corrections) (eV per atom) = -3.40

Here is a relaxed NaIrN2 crystal from Alexandria. Energies are from GGA-PBEsol.

CIF file:
```
data_NaIrN2
_chemical_formula_sum 'Na1 Ir1 N2'
_symmetry_space_group_name_H-M 'P 1'
_symmetry_Int_Tables_number 1
_cell_length_a 3.714
_cell_length_b 3.714
_cell_length_c 3.714
_cell_angle_alpha 60.00
_cell_angle_beta 60.00
_cell_angle_gamma 60.00
loop_
_symmetry_equiv_pos_as_xyz
'x,y,z'
loop_
_atom_site_label
_atom_site_type_symbol
_atom_site_fract_x
_atom_site_fract_y
_atom_site_fract_z
_atom_site_occupancy
Na1 Na 0.000 0.000 0.000 1
Ir1 Ir 0.500 0.500 0.500 1
N1 N 0.250 0.250 0.250 1
N2 N 0.750 0.750 0.750 1
```

## Properties
- energy relative to the elements, uncorrected (meV per atom) = 847
- N(E_F) (states/eV/f.u.) = 0.35
- space group = Fm-3m, No. 225
- total DFT energy (no corrections) (eV per atom) = -6.22

Here is a relaxed Na2IrN2 crystal from Alexandria. Energies are from GGA-PBEsol.

CIF file:
```
data_Na2IrN2
_chemical_formula_sum 'Na2 Ir1 N2'
_symmetry_space_group_name_H-M 'P 1'
_symmetry_Int_Tables_number 1
_cell_length_a 3.195
_cell_length_b 3.195
_cell_length_c 8.397
_cell_angle_alpha 90.00
_cell_angle_beta 90.00
_cell_angle_gamma 120.00
loop_
_symmetry_equiv_pos_as_xyz
'x,y,z'
loop_
_atom_site_label
_atom_site_type_symbol
_atom_site_fract_x
_atom_site_fract_y
_atom_site_fract_z
_atom_site_occupancy
Na1 Na 0.333 0.667 0.707 1
Na2 Na 0.667 0.333 0.293 1
Ir1 Ir 0.000 0.000 0.000 1
N1 N 0.333 0.667 0.113 1
N2 N 0.667 0.333 0.887 1
```

## Properties
- energy relative to the elements, uncorrected (meV per atom) = 187
- N(E_F) (states/eV/f.u.) = 2.54
- space group = P-3m1, No. 164
- total DFT energy (no corrections) (eV per atom) = -5.75